(1)
VASP calculation (PBE) on RbReSe2N after structural relaxation.

## Properties
ΔE_f (raw) = 3010 meV/atom
polymorph energy (0 for the lowest one) = 3061 meV per atom
density of states at the Fermi level = 10.49 states/eV per cell

Cell: 5.496 5.496 3.993 Å, 90.00 90.00 90.00°
Space group P4/mmm (No. 123)
Asymmetric unit:
Rb 0.000 0.000 0.000
Re 0.500 0.500 0.500
Se 0.000 0.500 0.000
N 0.000 0.000 0.500

=====

(2)
VASP calculation (PBE) on ScSn3Cl after structural relaxation.

## Properties
ΔE_f (raw) = 226 meV/atom
polymorph energy (0 for the lowest one) = 0 meV per atom
density of states at the Fermi level = 6.07 states/eV per cell

Cell: 5.609 5.609 5.609 Å, 90.00 90.00 90.00°
Space group Pm-3m (No. 221)
Asymmetric unit:
Sc 0.000 0.000 0.000
Sn 0.000 0.000 0.500
Cl 0.500 0.500 0.500

=====

(3)
VASP calculation (PBE) on La3Tl5Se12 after structural relaxation.

## Properties
ΔE_f (raw) = -811 meV/atom
density of states at the Fermi level = 38.30 states/eV per cell

Cell: 17.061 17.061 17.061 Å, 90.00 90.00 90.00°
Space group Ia-3d (No. 230)
Asymmetric unit:
La 0.000 0.250 0.125
Tl 0.000 0.000 0.000
Tl 0.000 0.250 0.375
Se 0.020 0.065 0.652

=====

(4)
VASP calculation (PBE) on Nd4ErN4 after structural relaxation.

## Properties
ΔE_f (raw) = -1279 meV/atom
density of states at the Fermi level = 7.13 states/eV per cell

Cell: 12.050 3.598 8.972 Å, 90.00 120.21 90.00°
Space group C2/m (No. 12)
Asymmetric unit:
Nd 0.105 0.000 0.381
Nd 0.206 0.500 0.813
Er 0.000 0.500 0.000
N 0.098 0.000 0.909
N 0.192 0.500 0.293

=====

(5)
VASP calculation (PBE) on HoEr2Au after structural relaxation.

## Properties
energy of formation from the pure elements = -44 kJ/mol of atoms
polymorph energy (0 for the lowest one) = 0 meV per atom
density of states at the Fermi level = 14.58 states/eV per cell

Cell: 6.902 9.640 6.631 Å, 90.00 90.00 90.00°
Space group Pnma (No. 62)
Asymmetric unit:
Ho 0.012 0.250 0.115
Er 0.198 0.054 0.696
Au 0.085 0.750 0.461

=====

(6)
VASP calculation (PBE) on TaFeNi2 after structural relaxation.

## Properties
energy of formation from the pure elements = -22 kJ/mol of atoms
density of states at the Fermi level = 5.83 states/eV per cell

Cell: 3.640 3.640 7.567 Å, 90.00 90.00 90.00°
Space group I4/mmm (No. 139)
Asymmetric unit:
Ta 0.000 0.000 0.000
Fe 0.000 0.000 0.500
Ni 0.000 0.500 0.250

=====

(7)
VASP calculation (PBE) on Tb10Mn13C18 after structural relaxation.

## Properties
energy of formation from the pure elements = -29 kJ/mol of atoms
density of states at the Fermi level = 26.01 states/eV per cell

Cell: 10.117 10.117 10.117 Å, 90.00 90.00 90.00°
Space group I-43m (No. 217)
Asymmetric unit:
Tb 0.000 0.250 0.500
Tb 0.205 0.205 0.795
Mn 0.000 0.000 0.000
Mn 0.076 0.076 0.256
C 0.000 0.000 0.431
C 0.038 0.256 0.256

=====

(8)
VASP calculation (PBE) on Al2H2Cl7 after structural relaxation.

Cell: 9.534 13.813 6.619 Å, 90.00 116.84 90.00°
Space group C2/m (No. 12)
Asymmetric unit:
Al 0.246 0.000 0.016
H 0.000 0.069 0.500
Cl 0.000 0.000 0.000
Cl 0.148 0.369 0.840
Cl 0.182 0.000 0.646

=====

(9)
VASP calculation (PBE) on Pm2Ga2Br after structural relaxation.

## Properties
ΔE_f (raw) = -943 meV/atom
density of states at the Fermi level = 5.91 states/eV per cell

Cell: 4.2123 4.2123 24.3115 Å, 90.00 90.00 120.00°
Space group R-3m (No. 166, hexagonal axes)
Asymmetric unit:
Pm 0.0000 0.0000 0.0828
Ga 0.0000 0.0000 0.3246
Br 0.0000 0.0000 0.5000

=====

(10)
VASP calculation (PBE) on ThHSeI after structural relaxation.

## Properties
density of states at the Fermi level = 0.00 states/eV per cell

Cell: 7.128 4.115 7.942 Å, 90.00 107.54 90.00°
Space group Cm (No. 8)
Asymmetric unit:
Th 0.000 0.000 0.000
H 0.325 0.000 0.976
Se 0.242 0.500 0.223
I 0.066 0.500 0.700

=====

(11)
VASP calculation (PBE) on Ba2AlGa10 after structural relaxation.

## Properties
energy of formation from the pure elements = -23 kJ/mol of atoms
density of states at the Fermi level = 5.37 states/eV per cell

Cell: 7.619 14.347 6.004 Å, 90.00 90.00 90.00°
Space group Pbam (No. 55)
Asymmetric unit:
Ba 0.231 0.160 0.000
Al 0.000 0.000 0.500
Ga 0.055 0.821 0.500
Ga 0.070 0.337 0.500
Ga 0.169 0.539 0.500
Ga 0.230 0.914 0.202

=====

(12)
VASP calculation (PBE) on VAsP after structural relaxation.

## Properties
energy of formation from the pure elements = -18 kJ/mol of atoms
polymorph energy (0 for the lowest one) = 75 meV per atom
density of states at the Fermi level = 2.15 states/eV per cell

Cell: 3.176 3.287 4.690 Å, 85.09 75.26 88.58°
Space group P1 (No. 1)
Asymmetric unit:
V 0.000 0.000 0.000
As 0.670 0.972 0.576
P 0.444 0.483 0.173

=====

Number 1: final energy -2.73 eV/atom. Number 2: final energy -3.81 eV/atom. Number 3: final energy -4.23 eV/atom. Number 4: final energy -7.60 eV/atom. Number 5: final energy -4.70 eV/atom. Number 6: final energy -8.20 eV/atom. Number 7: final energy -8.39 eV/atom. Number 8: final energy -3.24 eV/atom. Number 9: final energy -4.39 eV/atom. Number 10: final energy -5.23 eV/atom. Number 11: final energy -3.15 eV/atom. Number 12: final energy -6.58 eV/atom.